1.
The following is a DFT calculation (GGA-PBE) of crystalline Er2SbSe at its relaxed geometry.

a = 4.209 Å, b = 4.209 Å, c = 7.253 Å
α = 90.05°, β = 106.83°, γ = 119.98°
Fractional coordinates of all 4 atoms:
Se: 0.000 0.000 0.000
Sb: 0.000 0.500 0.500
Er: 0.492 0.746 0.237
Er: 0.508 0.254 0.763

Total magnetic moment, μB per cell: 0.0
Distance to the lowest polymorph of the same formula, eV/f.u.: 0.010
Symmetry: R-3m (166)
DOS(E_F), states/eV/cell: 1.90

2.
The following is a DFT calculation (GGA-PBE) of crystalline NaN3Cl at its relaxed geometry.

a = 3.907 Å, b = 3.907 Å, c = 3.907 Å
α = 90.00°, β = 90.00°, γ = 90.00°
Site moments in Bohr magnetons follow the coordinates.
Fractional coordinates of all 5 atoms:
N: 0.500 0.000 0.000  0.63
N: 0.000 0.500 0.000  0.70
N: 0.000 0.000 0.500  0.76
Na: 0.500 0.500 0.500  0.00
Cl: 0.000 0.000 0.000  -0.04

Total magnetic moment, μB per cell: 2.9
Symmetry: Pm-3m (221)
DOS(E_F), states/eV/cell: 1.83
Total DFT energy (no corrections), eV/atom: -3.21

3.
The following is a DFT calculation (GGA-PBE) of crystalline Sn3PdO at its relaxed geometry.

a = 4.746 Å, b = 4.746 Å, c = 4.746 Å
α = 90.00°, β = 90.00°, γ = 90.00°
Fractional coordinates of all 5 atoms:
O: 0.000 0.000 0.000
Sn: 0.000 0.500 0.000
Sn: 0.500 0.000 0.000
Sn: 0.000 0.000 0.500
Pd: 0.500 0.500 0.500

Total magnetic moment, μB per cell: 0.0
Distance to the lowest polymorph of the same formula, eV/f.u.: 0.000
Symmetry: Pm-3m (221)
DOS(E_F), states/eV/cell: 3.43

4.
The following is a DFT calculation (GGA-PBE) of crystalline La3TbDy6Er2 at its relaxed geometry.

a = 6.223 Å, b = 6.223 Å, c = 11.877 Å
α = 95.01°, β = 95.01°, γ = 120.02°
Fractional coordinates of all 12 atoms:
Dy: 0.585 0.919 0.756
Dy: 0.253 0.253 0.756
Dy: 0.081 0.415 0.244
Dy: 0.919 0.585 0.756
Dy: 0.415 0.081 0.244
Dy: 0.747 0.747 0.244
La: 0.500 0.500 0.500
La: 0.833 0.167 0.500
La: 0.167 0.833 0.500
Er: 0.333 0.667 0.000
Er: 0.667 0.333 0.000
Tb: 0.000 0.000 0.000

Total magnetic moment, μB per cell: 0.0
Symmetry: C2/m (12)
DFT formation energy, meV/atom: 23.0
DOS(E_F), states/eV/cell: 16.91

5.
The following is a DFT calculation (GGA-PBE) of crystalline LaEu2Bi at its relaxed geometry.

a = 5.226 Å, b = 5.075 Å, c = 5.075 Å
α = 90.00°, β = 90.00°, γ = 90.00°
Site moments in Bohr magnetons follow the coordinates.
Fractional coordinates of all 4 atoms:
La: 0.500 0.500 0.500  -0.36
Eu: 0.000 0.500 0.000  -7.04
Eu: 0.000 0.000 0.500  -7.04
Bi: 0.500 0.000 0.000  0.09

Total magnetic moment, μB per cell: 15.6
Distance to the lowest polymorph of the same formula, eV/f.u.: 0.000
Symmetry: P4/mmm (123)
DFT formation energy, meV/atom: -462.7
DOS(E_F), states/eV/cell: 4.33

6.
The following is a DFT calculation (GGA-PBE) of crystalline Tb3Tl2Ag4 at its relaxed geometry.

a = 4.908 Å, b = 5.972 Å, c = 9.157 Å
α = 117.49°, β = 90.00°, γ = 114.26°
Fractional coordinates of all 9 atoms:
Tl: 0.381 0.762 0.716
Tl: 0.619 0.238 0.284
Tb: 0.337 0.675 0.327
Tb: 0.663 0.325 0.673
Tb: 0.000 0.000 0.000
Ag: 0.055 0.111 0.392
Ag: 0.945 0.889 0.608
Ag: 0.272 0.544 0.944
Ag: 0.728 0.456 0.056

Total magnetic moment, μB per cell: 0.0
Symmetry: C2/m (12)
DFT formation energy, meV/atom: -263.9
DOS(E_F), states/eV/cell: 4.73

7.
The following is a DFT calculation (GGA-PBE) of crystalline Pa3Ga9Ir2 at its relaxed geometry.

a = 4.317 Å, b = 8.112 Å, c = 8.112 Å
α = 75.98°, β = 74.57°, γ = 74.57°
Site moments in Bohr magnetons follow the coordinates.
Fractional coordinates of all 14 atoms:
Ga: 0.129 0.146 0.597  0.00
Ga: 0.334 0.041 0.291  0.00
Ga: 0.000 0.500 0.500  0.00
Ga: 0.666 0.709 0.959  0.00
Ga: 0.871 0.854 0.403  0.00
Ga: 0.334 0.291 0.041  0.00
Ga: 0.666 0.959 0.709  0.00
Ga: 0.129 0.597 0.146  0.00
Ga: 0.871 0.403 0.854  0.00
Pa: 0.000 0.000 0.000  0.33
Pa: 0.330 0.670 0.670  0.03
Pa: 0.670 0.330 0.330  0.03
Ir: 0.500 0.710 0.290  0.00
Ir: 0.500 0.290 0.710  0.00

Total magnetic moment, μB per cell: 0.4
Symmetry: Immm (71)
DFT formation energy, meV/atom: -449.8
DOS(E_F), states/eV/cell: 10.31

8.
The following is a DFT calculation (GGA-PBE) of crystalline Nb2CoPd at its relaxed geometry.

a = 2.819 Å, b = 2.819 Å, c = 7.738 Å
α = 90.00°, β = 90.00°, γ = 90.00°
Site moments in Bohr magnetons follow the coordinates.
Fractional coordinates of all 4 atoms:
Nb: 0.000 0.000 0.229  0.01
Nb: 0.000 0.000 0.771  0.01
Pd: 0.500 0.500 0.500  0.02
Co: 0.500 0.500 0.000  0.57

Total magnetic moment, μB per cell: 0.6
Distance to the lowest polymorph of the same formula, eV/f.u.: 0.000
Symmetry: P4/mmm (123)
DFT formation energy, meV/atom: -204.6
DOS(E_F), states/eV/cell: 3.84

9.
The following is a DFT calculation (GGA-PBE) of crystalline LaErGa2Rh2 at its relaxed geometry.

a = 4.435 Å, b = 4.435 Å, c = 7.301 Å
α = 90.00°, β = 90.00°, γ = 120.00°
Fractional coordinates of all 6 atoms:
Er: 0.000 0.000 0.500
Rh: 0.667 0.333 0.295
Rh: 0.333 0.667 0.705
La: 0.000 0.000 0.000
Ga: 0.667 0.333 0.719
Ga: 0.333 0.667 0.281

Total magnetic moment, μB per cell: 0.0
Symmetry: P-3m1 (164)
DFT formation energy, meV/atom: -823.4
DOS(E_F), states/eV/cell: 4.59

10.
The following is a DFT calculation (GGA-PBE) of crystalline HfPb2NCl at its relaxed geometry.

a = 5.718 Å, b = 4.764 Å, c = 5.718 Å
α = 90.00°, β = 90.00°, γ = 90.00°
Fractional coordinates of all 5 atoms:
N: 0.500 0.500 0.500
Hf: 0.000 0.000 0.000
Pb: 0.500 0.000 0.000
Pb: 0.000 0.000 0.500
Cl: 0.000 0.500 0.000

Total magnetic moment, μB per cell: 0.0
Symmetry: P4/mmm (123)
DOS(E_F), states/eV/cell: 5.80
Total DFT energy (no corrections), eV/atom: -4.38

11.
The following is a DFT calculation (GGA-PBE) of crystalline Sr2LaBr2N2 at its relaxed geometry.

a = 4.637 Å, b = 4.637 Å, c = 8.753 Å
α = 105.36°, β = 105.36°, γ = 90.00°
Site moments in Bohr magnetons follow the coordinates.
Fractional coordinates of all 7 atoms:
Br: 0.811 0.811 0.621  0.00
Br: 0.189 0.189 0.379  0.00
La: 0.000 0.000 0.000  0.07
N: 0.500 0.000 0.000  0.11
N: 0.000 0.500 0.000  0.11
Sr: 0.395 0.395 0.790  0.00
Sr: 0.605 0.605 0.210  0.00

Total magnetic moment, μB per cell: 0.4
Symmetry: I4/mmm (139)
DOS(E_F), states/eV/cell: 2.12
Total DFT energy (no corrections), eV/atom: -5.36

12.
The following is a DFT calculation (GGA-PBE) of crystalline CePrZn at its relaxed geometry.

a = 3.666 Å, b = 4.935 Å, c = 4.935 Å
α = 120.00°, β = 90.00°, γ = 90.00°
Site moments in Bohr magnetons follow the coordinates.
Fractional coordinates of all 3 atoms:
Ce: 0.012 0.000 0.000  0.34
Zn: 0.334 0.333 0.667  0.00
Pr: 0.654 0.667 0.333  0.01

Total magnetic moment, μB per cell: 0.4
Distance to the lowest polymorph of the same formula, eV/f.u.: 0.316
Symmetry: P3m1 (156)
DFT formation energy, meV/atom: -21.9
DOS(E_F), states/eV/cell: 4.52